This record from Alexandria describes a relaxed structure of BiMoF2. The functional is GGA+U.

Computed properties:
total magnetic moment	6.455	μB per cell
excess energy over the best structure of this formula in the dataset	0.84	eV per formula unit
SG	I-42d (122)

Cell: 7.499 7.499 7.499 Å, 138.85 138.85 59.61°
Fractional coordinates of all 8 atoms:
Bi 0.000 0.000 0.000
Bi 0.750 0.250 0.500
Mo 0.250 0.750 0.500
Mo 0.500 0.500 0.000
F 0.281 0.625 0.156
F 0.375 0.531 0.656
F 0.469 0.125 0.844
F 0.875 0.719 0.344